Material: LaCoIr2
Method: DFT, PBE-GGA
State: optimized geometry

- Total magnetization: 0.462 μB per atom
- Total energy: -0.536 Ry per atom
- Volume: 17.5 Å³/atom
- Mass density: 13.83 g/cm3
- Formation energy: 0.150 eV/atom

```
LaCoIr2
1.0
2.894 -3.963 0.000
2.894 3.963 0.000
0.000 0.000 3.047
La Co Ir
1 1 2
direct
0.000 0.000 0.000
0.500 0.500 0.000
0.000 0.500 0.500
0.500 0.000 0.500
```